SrSi2Ni: relaxed, GGA-PBE.

E_form (uncorrected) (eV/atom): -0.483
Space group: R3m (160)
Spin magnetization (μB per cell): 0.00

a b c (Å): 3.9501 3.9501 6.2230
angles (deg): 71.52 71.52 59.97
Element x y z (fractional)
Si 0.7058 0.7058 0.8822
Si 0.9674 0.9674 0.0975
Sr 0.5043 0.5043 0.4882
Ni 0.3224 0.3224 0.0321